The following is a PBE-GGA calculation of a relaxed structure of Pm8NiS3Br4, from Alexandria.

## Properties
- total magnetization (μB per cell) = 0.000
- volume (Å³ per atom) = 26.32
- final energy (eV/atom) = -5.322
- ρ (g/cm3) = 6.44

Unit cell a=8.6965 b=8.6965 c=8.6965 alpha=55.93 beta=55.93 gamma=55.93
Closest atoms and distances in Å follow each position.
Fractional coordinates of all 16 atoms:
1 Pm 0.2327 0.2327 0.2327  3 S 2.76
2 Pm 0.2431 0.7286 0.7286  1 Ni 2.71, 2 S 2.80
3 Pm 0.2714 0.2714 0.7569  1 Ni 2.71, 2 S 2.80
4 Pm 0.2714 0.7569 0.2714  1 Ni 2.71, 2 S 2.80
5 Pm 0.7286 0.2431 0.7286  1 Ni 2.71, 2 S 2.80
6 Pm 0.7286 0.7286 0.2431  1 Ni 2.71, 2 S 2.80
7 Pm 0.7569 0.2714 0.2714  1 Ni 2.71, 2 S 2.80
8 Pm 0.7673 0.7673 0.7673  3 S 2.76
9 Ni 0.5000 0.5000 0.5000  6 Pm 2.71
10 S 0.0000 0.0000 0.5000  6 Pm 2.76-2.80
11 S 0.0000 0.5000 0.0000  6 Pm 2.76-2.80
12 S 0.5000 0.0000 0.0000  6 Pm 2.76-2.80
13 Br 0.0000 0.0000 0.0000  6 Pm 3.27
14 Br 0.0000 0.5000 0.5000  6 Pm 3.19-3.23
15 Br 0.5000 0.0000 0.5000  6 Pm 3.19-3.23
16 Br 0.5000 0.5000 0.0000  6 Pm 3.19-3.23